! LiBe2O2 PBE optimized geometry; values from VASP
&SYSTEM
  ibrav = 0, nat = 10, ntyp = 3
/
ATOMIC_SPECIES
Li 6.94 Li.upf
Be 9.01 Be.upf
O 16.00 O.upf
CELL_PARAMETERS angstrom
4.699 -0.598 -0.022
-1.561 4.473 -0.022
-1.402 -1.731 3.981
ATOMIC_POSITIONS angstrom
Li -0.799 3.139 0.973
Li 2.535 -0.995 2.964
Be 2.066 1.215 2.178
Be 0.276 -0.995 3.749
Be 1.460 3.139 0.188
Be -0.330 0.929 1.758
O 0.773 1.865 0.973
O 2.779 0.241 0.973
O -1.043 1.903 2.964
O 0.963 0.279 2.964
! - D(E_F): 0.185 states/eV per atom
! - ρ: 2.4 g/cm3
! - E_form (uncorrected): -1.7128 eV/atom
! - Space group: C2/c (15)